Here is an optimized crystal structure of SrLiTlPt from Alexandria via LeMat-Bulk. Energies are from GGA-PBE.

a = 7.146 Å, b = 7.146 Å, c = 7.146 Å
α = 90.00°, β = 90.00°, γ = 90.00°
Fractional coordinates of all 16 atoms:
Sr 0.000 0.000 0.000
Sr 0.000 0.500 0.500
Sr 0.500 0.000 0.500
Sr 0.500 0.500 0.000
Li 0.250 0.250 0.250
Li 0.250 0.750 0.750
Li 0.750 0.250 0.750
Li 0.750 0.750 0.250
Tl 0.000 0.000 0.500
Tl 0.000 0.500 0.000
Tl 0.500 0.000 0.000
Tl 0.500 0.500 0.500
Pt 0.250 0.250 0.750
Pt 0.250 0.750 0.250
Pt 0.750 0.250 0.250
Pt 0.750 0.750 0.750

DOS at the Fermi energy, states/eV/f.u.: 2.71
VASP energy, eV per atom: -3.39
Space group: F-43m, No. 216

***

Here is an optimized crystal structure of NaIn3Au6 from Alexandria via LeMat-Bulk. Energies are from GGA-PBE.

a = 8.423 Å, b = 8.423 Å, c = 7.658 Å
α = 90.00°, β = 90.00°, γ = 122.24°
Fractional coordinates of all 20 atoms:
Na 0.152 0.848 0.500
Na 0.848 0.152 0.000
In 0.097 0.342 0.399
In 0.342 0.097 0.899
In 0.390 0.610 0.001
In 0.610 0.390 0.501
In 0.658 0.903 0.399
In 0.903 0.658 0.899
Au 0.013 0.987 0.221
Au 0.112 0.539 0.733
Au 0.214 0.786 0.139
Au 0.310 0.353 0.698
Au 0.353 0.310 0.198
Au 0.461 0.888 0.733
Au 0.539 0.112 0.233
Au 0.647 0.690 0.698
Au 0.690 0.647 0.198
Au 0.786 0.214 0.639
Au 0.888 0.461 0.233
Au 0.987 0.013 0.721

DOS at the Fermi energy, states/eV/f.u.: 2.60
VASP energy, eV per atom: -3.08
Space group: Cmc2_1, No. 36

***

Here is an optimized crystal structure of LiCoSi2 from Alexandria via LeMat-Bulk. Energies are from GGA-PBE.

a = 4.728 Å, b = 4.728 Å, c = 14.194 Å
α = 90.00°, β = 90.00°, γ = 90.00°
Fractional coordinates of all 16 atoms:
Li 0.000 0.000 0.000
Li 0.000 0.500 0.250
Li 0.500 0.000 0.750
Li 0.500 0.500 0.500
Co 0.000 0.000 0.500
Co 0.000 0.500 0.750
Co 0.500 0.000 0.250
Co 0.500 0.500 0.000
Si 0.065 0.750 0.625
Si 0.250 0.065 0.375
Si 0.250 0.435 0.875
Si 0.435 0.750 0.125
Si 0.565 0.250 0.125
Si 0.750 0.565 0.875
Si 0.750 0.935 0.375
Si 0.935 0.250 0.625

DOS at the Fermi energy, states/eV/f.u.: 0.25
VASP energy, eV per atom: -4.82
Space group: I-42d, No. 122
Uncorrected formation energy, eV/f.u.: 0.6
Polymorph energy (0 for the lowest one), meV per atom: 438

***

Here is an optimized crystal structure of AlZn2Fe from Alexandria via LeMat-Bulk. Energies are from GGA-PBE.

a = 3.727 Å, b = 3.727 Å, c = 3.884 Å
α = 90.00°, β = 90.00°, γ = 90.00°
Fractional coordinates of all 4 atoms:
Al 0.000 0.000 0.000
Zn 0.000 0.500 0.500
Zn 0.500 0.000 0.500
Fe 0.500 0.500 0.000

DOS at the Fermi energy, states/eV/f.u.: 2.02
VASP energy, eV per atom: -3.75
Space group: P4/mmm, No. 123

***

Here is an optimized crystal structure of Be2AuI6 from Alexandria via LeMat-Bulk. Energies are from GGA-PBE.

a = 10.754 Å, b = 10.754 Å, c = 6.930 Å
α = 108.76°, β = 108.76°, γ = 98.31°
Fractional coordinates of all 18 atoms:
Be 0.179 0.319 0.374
Be 0.319 0.179 0.874
Be 0.681 0.821 0.126
Be 0.821 0.681 0.626
Au 0.251 0.749 0.750
Au 0.749 0.251 0.250
I 0.049 0.765 0.915
I 0.181 0.316 0.725
I 0.235 0.951 0.585
I 0.266 0.548 0.400
I 0.316 0.181 0.225
I 0.452 0.734 0.100
I 0.548 0.266 0.900
I 0.684 0.819 0.775
I 0.734 0.452 0.600
I 0.765 0.049 0.415
I 0.819 0.684 0.275
I 0.951 0.235 0.085

DOS at the Fermi energy, states/eV/f.u.: 3.98
VASP energy, eV per atom: -2.54
Space group: C2/c, No. 15
Uncorrected formation energy, eV/f.u.: -2.8

***

Here is an optimized crystal structure of Pm8Tm4Sc from Alexandria via LeMat-Bulk. Energies are from GGA-PBE.

a = 10.317 Å, b = 10.317 Å, c = 10.317 Å
α = 40.89°, β = 40.89°, γ = 40.89°
Fractional coordinates of all 13 atoms:
Pm 0.209 0.748 0.748
Pm 0.214 0.214 0.214
Pm 0.252 0.252 0.791
Pm 0.252 0.791 0.252
Pm 0.748 0.209 0.748
Pm 0.748 0.748 0.209
Pm 0.786 0.786 0.786
Pm 0.791 0.252 0.252
Tm 0.000 0.000 0.000
Tm 0.000 0.500 0.500
Tm 0.500 0.000 0.500
Tm 0.500 0.500 0.000
Sc 0.500 0.500 0.500

DOS at the Fermi energy, states/eV/f.u.: 14.93
VASP energy, eV per atom: -4.60
Space group: R-3m, No. 166

***

Here is an optimized crystal structure of SmNb2FeN4 from Alexandria via LeMat-Bulk. Energies are from GGA-PBE.

a = 5.662 Å, b = 5.662 Å, c = 10.862 Å
α = 90.00°, β = 90.00°, γ = 147.90°
Fractional coordinates of all 16 atoms:
Sm 0.107 0.893 0.750
Sm 0.893 0.107 0.250
Nb 0.369 0.631 0.557
Nb 0.369 0.631 0.943
Nb 0.631 0.369 0.057
Nb 0.631 0.369 0.443
Fe 0.158 0.842 0.250
Fe 0.842 0.158 0.750
N 0.000 0.000 0.000
N 0.000 0.000 0.500
N 0.272 0.728 0.114
N 0.272 0.728 0.386
N 0.444 0.556 0.750
N 0.556 0.444 0.250
N 0.728 0.272 0.614
N 0.728 0.272 0.886

DOS at the Fermi energy, states/eV/f.u.: 2.53
VASP energy, eV per atom: -9.28
Space group: Cmcm, No. 63
Uncorrected formation energy, eV/f.u.: -7.6

***

Here is an optimized crystal structure of KMg2Te from Alexandria via LeMat-Bulk. Energies are from GGA-PBE.

a = 4.342 Å, b = 4.342 Å, c = 28.018 Å
α = 90.00°, β = 90.00°, γ = 120.00°
Fractional coordinates of all 12 atoms:
K 0.000 0.000 0.000
K 0.333 0.667 0.667
K 0.667 0.333 0.333
Mg 0.000 0.000 0.225
Mg 0.000 0.000 0.775
Mg 0.333 0.667 0.442
Mg 0.333 0.667 0.891
Mg 0.667 0.333 0.109
Mg 0.667 0.333 0.558
Te 0.000 0.000 0.500
Te 0.333 0.667 0.167
Te 0.667 0.333 0.833

DOS at the Fermi energy, states/eV/f.u.: 3.08
VASP energy, eV per atom: -2.02
Space group: R-3m, No. 166
Uncorrected formation energy, eV/f.u.: -0.7

***

Here is an optimized crystal structure of CeZn4Rh from Alexandria via LeMat-Bulk. Energies are from GGA-PBE.

a = 7.894 Å, b = 4.117 Å, c = 6.624 Å
α = 90.00°, β = 90.00°, γ = 90.00°
Fractional coordinates of all 12 atoms:
Ce 0.250 0.000 0.102
Ce 0.750 0.000 0.898
Zn 0.000 0.000 0.500
Zn 0.039 0.500 0.792
Zn 0.250 0.500 0.462
Zn 0.461 0.500 0.792
Zn 0.500 0.000 0.500
Zn 0.539 0.500 0.208
Zn 0.750 0.500 0.538
Zn 0.961 0.500 0.208
Rh 0.250 0.000 0.735
Rh 0.750 0.000 0.265

DOS at the Fermi energy, states/eV/f.u.: 5.40
VASP energy, eV per atom: -3.45
Space group: Pmma, No. 51
Polymorph energy (0 for the lowest one), meV per atom: 0

***

Here is an optimized crystal structure of CdPd2Au8 from Alexandria via LeMat-Bulk. Energies are from GGA-PBE.

a = 7.698 Å, b = 7.698 Å, c = 6.587 Å
α = 105.56°, β = 105.56°, γ = 31.27°
Fractional coordinates of all 11 atoms:
Cd 0.000 0.000 0.000
Pd 0.273 0.273 0.363
Pd 0.727 0.727 0.637
Au 0.095 0.095 0.458
Au 0.183 0.183 0.911
Au 0.361 0.361 0.809
Au 0.453 0.453 0.273
Au 0.547 0.547 0.727
Au 0.639 0.639 0.191
Au 0.817 0.817 0.089
Au 0.905 0.905 0.542

DOS at the Fermi energy, states/eV/f.u.: 3.37
VASP energy, eV per atom: -3.51
Space group: C2/m, No. 12

***

Here is an optimized crystal structure of YGaBi2Te from Alexandria via LeMat-Bulk. Energies are from GGA-PBE.

a = 5.429 Å, b = 5.429 Å, c = 5.446 Å
α = 90.00°, β = 90.00°, γ = 90.00°
Fractional coordinates of all 5 atoms:
Y 0.000 0.000 0.000
Ga 0.500 0.500 0.500
Bi 0.000 0.500 0.500
Bi 0.500 0.000 0.500
Te 0.500 0.500 0.000

DOS at the Fermi energy, states/eV/f.u.: 4.17
VASP energy, eV per atom: -3.94
Space group: P4/mmm, No. 123
Uncorrected formation energy, eV/f.u.: 0.7

***

Here is an optimized crystal structure of La4CdRh2 from Alexandria via LeMat-Bulk. Energies are from GGA-PBE.

a = 7.198 Å, b = 7.252 Å, c = 8.991 Å
α = 107.45°, β = 107.21°, γ = 104.97°
Fractional coordinates of all 14 atoms:
La 0.000 0.000 0.000
La 0.026 0.718 0.582
La 0.310 0.151 0.470
La 0.379 0.570 0.286
La 0.455 0.602 0.863
La 0.526 0.173 0.005
La 0.773 0.115 0.398
La 0.934 0.434 0.868
Cd 0.606 0.916 0.667
Cd 0.871 0.682 0.200
Rh 0.141 0.186 0.749
Rh 0.326 0.871 0.119
Rh 0.667 0.522 0.613
Rh 0.988 0.343 0.255

DOS at the Fermi energy, states/eV/f.u.: 6.94
VASP energy, eV per atom: -5.59
Space group: P1, No. 1

***

Question: Which of these has the lowest VASP energy?
Answer: SmNb2FeN4

***

Repeat the second record exactly.
Here is an optimized crystal structure of NaIn3Au6 from Alexandria via LeMat-Bulk. Energies are from GGA-PBE.

a = 8.423 Å, b = 8.423 Å, c = 7.658 Å
α = 90.00°, β = 90.00°, γ = 122.24°
Fractional coordinates of all 20 atoms:
Na 0.152 0.848 0.500
Na 0.848 0.152 0.000
In 0.097 0.342 0.399
In 0.342 0.097 0.899
In 0.390 0.610 0.001
In 0.610 0.390 0.501
In 0.658 0.903 0.399
In 0.903 0.658 0.899
Au 0.013 0.987 0.221
Au 0.112 0.539 0.733
Au 0.214 0.786 0.139
Au 0.310 0.353 0.698
Au 0.353 0.310 0.198
Au 0.461 0.888 0.733
Au 0.539 0.112 0.233
Au 0.647 0.690 0.698
Au 0.690 0.647 0.198
Au 0.786 0.214 0.639
Au 0.888 0.461 0.233
Au 0.987 0.013 0.721

DOS at the Fermi energy, states/eV/f.u.: 2.60
VASP energy, eV per atom: -3.08
Space group: Cmc2_1, No. 36

***

Question: What is the formula in the eleventh record?
Answer: YGaBi2Te